a | Density functional theory data (GGA-PBE) for a geometry-optimized GdZr2In structure.

abc: 3.1914 3.1914 34.4496
angles: 90.00 90.00 120.00
With the nearest neighbours (Å) after each atom.
Space group R-3m (No. 166, hexagonal axes)
One atom of each set of equivalent atoms:
Gd1 0.0000 0.0000 0.0000 x3  2 Zr 3.16, 6 Gd 3.19
Zr1 0.0000 0.0000 0.0916 x6  1 Gd 3.16, 3 In 3.17, 6 Zr 3.19
In1 0.0000 0.0000 0.5000 x3  6 Zr 3.17, 6 In 3.19

Output
* crystal system: trigonal

b | Density functional theory data (GGA-PBE) for a geometry-optimized GdZr2In structure.

abc: 3.2763 3.2763 9.1895
angles: 90.00 90.00 90.00
With the nearest neighbours (Å) after each atom.
Space group P4/mmm (No. 123)
One atom of each set of equivalent atoms:
Gd1 0.0000 0.0000 0.0000 x1  4 Gd 3.28, 8 Zr 3.39
Zr1 0.5000 0.5000 0.2695 x2  4 In 3.14, 4 Zr 3.28, 4 Gd 3.39
In1 0.0000 0.0000 0.5000 x1  8 Zr 3.14, 4 In 3.28

Output
* crystal system: tetragonal

Energies in meV per atom, measured from the most stable structure: a 241; b 0.

a | Density functional theory data (GGA-PBE) for a geometry-optimized Gd2ZrIn structure.

abc: 4.6857 4.6857 4.7870
angles: 90.00 90.00 90.00
With the nearest neighbours (Å) after each atom.
Space group P4/mmm (No. 123)
One atom of each set of equivalent atoms:
Gd1 0.0000 0.5000 0.0000 x2  4 Gd 3.31, 4 In 3.35, 4 Zr 3.35
Zr1 0.0000 0.0000 0.5000 x1  4 In 3.31, 8 Gd 3.35
In1 0.5000 0.5000 0.5000 x1  4 Zr 3.31, 8 Gd 3.35

Output
* crystal system: tetragonal

b | Density functional theory data (GGA-PBE) for a geometry-optimized Gd2ZrIn structure.

abc: 3.4034 3.4034 35.3077
angles: 90.00 90.00 120.00
With the nearest neighbours (Å) after each atom.
Space group R-3m (No. 166, hexagonal axes)
One atom of each set of equivalent atoms:
Gd1 0.0000 0.0000 0.0917 x6  1 In 3.24, 3 Zr 3.30, 6 Gd 3.40
Zr1 0.0000 0.0000 0.5000 x3  6 Gd 3.30, 6 Zr 3.40
In1 0.0000 0.0000 0.0000 x3  2 Gd 3.24, 6 In 3.40

Output
* crystal system: trigonal

c | Density functional theory data (GGA-PBE) for a geometry-optimized Gd2ZrIn structure.

abc: 3.3920 3.3920 9.4834
angles: 90.00 90.00 90.00
With the nearest neighbours (Å) after each atom.
Space group P4/mmm (No. 123)
One atom of each set of equivalent atoms:
Gd1 0.0000 0.0000 0.2481 x2  4 In 3.36, 4 Zr 3.39, 4 Gd 3.39
Zr1 0.5000 0.5000 0.5000 x1  8 Gd 3.39, 4 Zr 3.39
In1 0.5000 0.5000 0.0000 x1  8 Gd 3.36, 4 In 3.39

Output
* crystal system: tetragonal

Energies in meV per atom, measured from the most stable structure: a 0; b 317; c 15.

a | Density functional theory data (GGA-PBE) for a geometry-optimized GdIr3 structure.

abc: 4.0751 4.0751 4.0751
angles: 90.00 90.00 90.00
With the nearest neighbours (Å) after each atom.
Space group Pm-3m (No. 221)
One atom of each set of equivalent atoms:
Gd1 0.0000 0.0000 0.0000 x1  12 Ir 2.88
Ir1 0.0000 0.5000 0.5000 x3  8 Ir 2.88, 4 Gd 2.88

Output
* crystal system: cubic

b | Density functional theory data (GGA-PBE) for a geometry-optimized GdIr3 structure.

abc: 5.3321 5.3321 26.3728
angles: 90.00 90.00 120.00
With the nearest neighbours (Å) after each atom.
Space group R-3m (No. 166, hexagonal axes)
One atom of each set of equivalent atoms:
Gd1 0.0000 0.0000 0.0000 x3  18 Ir 3.08-3.43
Gd2 0.0000 0.0000 0.1394 x6  12 Ir 3.07-3.34, 3 Gd 3.40
Ir1 0.0000 0.0000 0.3325 x6  6 Ir 2.64-2.66
Ir2 0.0000 0.0000 0.5000 x3  6 Ir 2.71
Ir3 0.0011 0.5005 0.0818 x18  7 Ir 2.64-2.71

Output
* crystal system: trigonal

Energies in meV per atom, measured from the most stable structure: a 225; b 0.

a | Density functional theory data (GGA-PBE) for a geometry-optimized LaGd2Ir structure.

abc: 3.5437 3.5437 9.0213
angles: 90.00 90.00 90.00
With the nearest neighbours (Å) after each atom.
Space group P4/mmm (No. 123)
One atom of each set of equivalent atoms:
La1 0.0000 0.0000 0.0000 x1  4 La 3.54, 8 Gd 3.82
Gd1 0.5000 0.5000 0.3202 x2  4 Ir 2.98, 1 Gd 3.24
Ir1 0.0000 0.0000 0.5000 x1  8 Gd 2.98

Output
* crystal system: tetragonal

b | Density functional theory data (GGA-PBE) for a geometry-optimized LaGd2Ir structure.

abc: 4.1264 4.1264 25.3634
angles: 90.00 90.00 120.00
With the nearest neighbours (Å) after each atom.
Space group R-3m (No. 166, hexagonal axes)
One atom of each set of equivalent atoms:
La1 0.0000 0.0000 0.0000 x3  6 Gd 3.69, 6 La 4.13
Gd1 0.0000 0.0000 0.2222 x6  3 Ir 2.77
Ir1 0.0000 0.0000 0.5000 x3  6 Gd 2.77

Output
* crystal system: trigonal

Energies in meV per atom, measured from the most stable structure: a 0; b 84.

a | Density functional theory data (GGA-PBE) for a geometry-optimized NdGdIr structure.

abc: 3.5497 3.5497 13.1045
angles: 90.00 90.00 90.00
With the nearest neighbours (Å) after each atom.
Space group I4mm (No. 107)
One atom of each set of equivalent atoms:
Nd1 0.0000 0.0000 0.0000 x2  4 Ir 3.04, 1 Gd 3.28
Gd1 0.0000 0.0000 0.2506 x2  4 Ir 2.96, 1 Nd 3.28
Ir1 0.0000 0.0000 0.6302 x2  4 Gd 2.96, 4 Nd 3.04

Output
* crystal system: tetragonal

b | Density functional theory data (GGA-PBE) for a geometry-optimized NdGdIr structure.

abc: 6.9283 6.9283 6.9283
angles: 90.00 90.00 90.00
With the nearest neighbours (Å) after each atom.
Space group F-43m (No. 216)
One atom of each set of equivalent atoms:
Nd1 0.0000 0.0000 0.0000 x4  4 Ir 3.00
Gd1 0.0000 0.0000 0.5000 x4  4 Ir 3.00
Ir1 0.2500 0.2500 0.2500 x4  4 Gd 3.00, 4 Nd 3.00

Output
* crystal system: cubic

Energies in meV per atom, measured from the most stable structure: a 115; b 0.

a | Density functional theory data (GGA-PBE) for a geometry-optimized GdNpIr2 structure.

abc: 4.9739 4.9739 3.2920
angles: 90.00 90.00 90.00
With the nearest neighbours (Å) after each atom.
Space group P4/mmm (No. 123)
One atom of each set of equivalent atoms:
Gd1 0.0000 0.0000 0.0000 x1  8 Ir 2.98, 2 Gd 3.29
Np1 0.5000 0.5000 0.0000 x1  8 Ir 2.98, 2 Np 3.29
Ir1 0.0000 0.5000 0.5000 x2  4 Gd 2.98, 4 Np 2.98, 2 Ir 3.29

Output
* crystal system: tetragonal

b | Density functional theory data (GGA-PBE) for a geometry-optimized GdNpIr2 structure.

abc: 6.8731 6.8731 6.8731
angles: 90.00 90.00 90.00
With the nearest neighbours (Å) after each atom.
Space group Fm-3m (No. 225)
One atom of each set of equivalent atoms:
Gd1 0.0000 0.0000 0.0000 x4  8 Ir 2.98
Np1 0.0000 0.0000 0.5000 x4  8 Ir 2.98
Ir1 0.2500 0.2500 0.2500 x8  4 Gd 2.98, 4 Np 2.98

Output
* crystal system: cubic

Energies in meV per atom, measured from the most stable structure: a 8; b 0.

a | Density functional theory data (GGA-PBE) for a geometry-optimized GdPaIr2 structure.

abc: 6.9327 6.9327 6.9327
angles: 90.00 90.00 90.00
With the nearest neighbours (Å) after each atom.
Space group Fm-3m (No. 225)
One atom of each set of equivalent atoms:
Gd1 0.0000 0.0000 0.0000 x4  8 Ir 3.00
Pa1 0.0000 0.0000 0.5000 x4  8 Ir 3.00
Ir1 0.2500 0.2500 0.2500 x8  4 Gd 3.00, 4 Pa 3.00

Output
* crystal system: cubic

b | Density functional theory data (GGA-PBE) for a geometry-optimized GdPaIr2 structure.

abc: 3.4827 3.4827 7.0355
angles: 90.00 90.00 90.00
With the nearest neighbours (Å) after each atom.
Space group P4/mmm (No. 123)
One atom of each set of equivalent atoms:
Gd1 0.0000 0.0000 0.0000 x1  8 Ir 3.16, 4 Gd 3.48, 2 Pa 3.52
Pa1 0.0000 0.0000 0.5000 x1  8 Ir 2.90
Ir1 0.5000 0.5000 0.2821 x2  4 Pa 2.90, 1 Ir 3.07, 4 Gd 3.16

Output
* crystal system: tetragonal

c | Density functional theory data (GGA-PBE) for a geometry-optimized GdPaIr2 structure.

abc: 4.5884 4.5884 14.6367
angles: 90.00 90.00 120.00
With the nearest neighbours (Å) after each atom.
Space group R-3m (No. 166, hexagonal axes)
One atom of each set of equivalent atoms:
Gd1 0.0000 0.0000 0.0000 x3  8 Ir 3.12-3.23
Pa1 0.0000 0.0000 0.5000 x3  6 Ir 2.76
Ir1 0.0000 0.0000 0.2204 x6  3 Pa 2.76, 3 Ir 3.08

Output
* crystal system: trigonal

Energies in meV per atom, measured from the most stable structure: a 100; b 12; c 0.

a | Density functional theory data (GGA-PBE) for a geometry-optimized Gd2IrPb structure.

abc: 3.4969 3.4969 8.2344
angles: 90.00 90.00 90.00
With the nearest neighbours (Å) after each atom.
Space group P4/mmm (No. 123)
One atom of each set of equivalent atoms:
Gd1 0.0000 0.0000 0.2030 x2  4 Ir 2.98
Ir1 0.5000 0.5000 0.0000 x1  8 Gd 2.98
Pb1 0.5000 0.5000 0.5000 x1  8 Gd 3.48, 4 Pb 3.50

Output
* crystal system: tetragonal

b | Density functional theory data (GGA-PBE) for a geometry-optimized Gd2IrPb structure.

abc: 4.9021 4.9021 4.0250
angles: 90.00 90.00 90.00
With the nearest neighbours (Å) after each atom.
Space group P4/mmm (No. 123)
One atom of each set of equivalent atoms:
Gd1 0.0000 0.5000 0.0000 x2  4 Pb 3.17, 4 Ir 3.17, 4 Gd 3.47
Ir1 0.0000 0.0000 0.5000 x1  8 Gd 3.17, 4 Pb 3.47
Pb1 0.5000 0.5000 0.5000 x1  8 Gd 3.17, 4 Ir 3.47

Output
* crystal system: tetragonal

c | Density functional theory data (GGA-PBE) for a geometry-optimized Gd2IrPb structure.

abc: 7.3309 7.3309 7.3309
angles: 90.00 90.00 90.00
With the nearest neighbours (Å) after each atom.
Space group Fm-3m (No. 225)
One atom of each set of equivalent atoms:
Gd1 0.2500 0.2500 0.2500 x8  4 Pb 3.17, 4 Ir 3.17
Ir1 0.0000 0.0000 0.0000 x4  8 Gd 3.17
Pb1 0.0000 0.0000 0.5000 x4  8 Gd 3.17

Output
* crystal system: cubic

Energies in meV per atom, measured from the most stable structure: a 0; b 183; c 199.

a | Density functional theory data (GGA-PBE) for a geometry-optimized Gd2IrPd structure.

abc: 4.1024 4.1024 19.8846
angles: 90.00 90.00 120.00
With the nearest neighbours (Å) after each atom.
Space group R-3m (No. 166, hexagonal axes)
One atom of each set of equivalent atoms:
Gd1 0.0000 0.0000 0.2443 x6  3 Ir 2.83, 3 Pd 2.96
Ir1 0.0000 0.0000 0.5000 x3  6 Gd 2.83
Pd1 0.0000 0.0000 0.0000 x3  6 Gd 2.96

Output
* crystal system: trigonal

b | Density functional theory data (GGA-PBE) for a geometry-optimized Gd2IrPd structure.

abc: 6.9913 6.9913 6.9913
angles: 90.00 90.00 90.00
With the nearest neighbours (Å) after each atom.
Space group Fm-3m (No. 225)
One atom of each set of equivalent atoms:
Gd1 0.2500 0.2500 0.2500 x8  4 Pd 3.03, 4 Ir 3.03
Ir1 0.0000 0.0000 0.0000 x4  8 Gd 3.03
Pd1 0.0000 0.0000 0.5000 x4  8 Gd 3.03

Output
* crystal system: cubic

c | Density functional theory data (GGA-PBE) for a geometry-optimized Gd2IrPd structure.

abc: 3.5043 3.5043 7.0109
angles: 90.00 90.00 90.00
With the nearest neighbours (Å) after each atom.
Space group P4/mmm (No. 123)
One atom of each set of equivalent atoms:
Gd1 0.0000 0.0000 0.2383 x2  4 Ir 2.99, 4 Pd 3.08, 1 Gd 3.34
Ir1 0.5000 0.5000 0.0000 x1  8 Gd 2.99
Pd1 0.5000 0.5000 0.5000 x1  8 Gd 3.08

Output
* crystal system: tetragonal

Energies in meV per atom, measured from the most stable structure: a 167; b 0; c 7.

a | Density functional theory data (GGA-PBE) for a geometry-optimized Pm2GdIr structure.

abc: 7.3750 7.3750 7.3750
angles: 90.00 90.00 90.00
With the nearest neighbours (Å) after each atom.
Space group Fm-3m (No. 225)
One atom of each set of equivalent atoms:
Pm1 0.2500 0.2500 0.2500 x8  4 Gd 3.19, 4 Ir 3.19
Gd1 0.0000 0.0000 0.0000 x4  8 Pm 3.19
Ir1 0.0000 0.0000 0.5000 x4  8 Pm 3.19

Output
* crystal system: cubic

b | Density functional theory data (GGA-PBE) for a geometry-optimized Pm2GdIr structure.

abc: 3.6167 3.6167 8.7461
angles: 90.00 90.00 90.00
With the nearest neighbours (Å) after each atom.
Space group P4/mmm (No. 123)
One atom of each set of equivalent atoms:
Pm1 0.0000 0.0000 0.1870 x2  4 Ir 3.04, 1 Pm 3.27
Gd1 0.5000 0.5000 0.5000 x1  4 Gd 3.62, 8 Pm 3.75
Ir1 0.5000 0.5000 0.0000 x1  8 Pm 3.04

Output
* crystal system: tetragonal

Energies in meV per atom, measured from the most stable structure: a 210; b 0.

a | Density functional theory data (GGA-PBE) for a geometry-optimized PrGdIr structure.

abc: 6.9563 6.9563 6.9563
angles: 90.00 90.00 90.00
With the nearest neighbours (Å) after each atom.
Space group F-43m (No. 216)
One atom of each set of equivalent atoms:
Pr1 0.0000 0.0000 0.0000 x4  4 Ir 3.01
Gd1 0.0000 0.0000 0.5000 x4  4 Ir 3.01
Ir1 0.2500 0.2500 0.7500 x4  4 Gd 3.01, 4 Pr 3.01

Output
* crystal system: cubic

b | Density functional theory data (GGA-PBE) for a geometry-optimized PrGdIr structure.

abc: 4.1922 4.1922 6.3560
angles: 90.00 90.00 120.00
With the nearest neighbours (Å) after each atom.
Space group P3m1 (No. 156)
One atom of each set of equivalent atoms:
Pr1 0.0000 0.0000 0.0000 x1  3 Ir 2.86
Gd1 0.3333 0.6667 0.4590 x1  3 Ir 2.79
Ir1 0.6667 0.3333 0.2402 x1  3 Gd 2.79, 3 Pr 2.86

Output
* crystal system: trigonal

Energies in meV per atom, measured from the most stable structure: a 0; b 60.

a | Density functional theory data (GGA-PBE) for a geometry-optimized Gd2PuIr structure.

abc: 3.5111 3.5111 8.4957
angles: 90.00 90.00 90.00
With the nearest neighbours (Å) after each atom.
Space group P4/mmm (No. 123)
One atom of each set of equivalent atoms:
Gd1 0.0000 0.0000 0.1930 x2  4 Ir 2.98, 1 Gd 3.28
Pu1 0.5000 0.5000 0.5000 x1  4 Pu 3.51, 8 Gd 3.60
Ir1 0.5000 0.5000 0.0000 x1  8 Gd 2.98

Output
* crystal system: tetragonal

b | Density functional theory data (GGA-PBE) for a geometry-optimized Gd2PuIr structure.

abc: 7.2452 7.2452 7.2452
angles: 90.00 90.00 90.00
With the nearest neighbours (Å) after each atom.
Space group Fm-3m (No. 225)
One atom of each set of equivalent atoms:
Gd1 0.2500 0.2500 0.2500 x8  4 Ir 3.14, 4 Pu 3.14
Pu1 0.0000 0.0000 0.0000 x4  8 Gd 3.14
Ir1 0.0000 0.0000 0.5000 x4  8 Gd 3.14

Output
* crystal system: cubic

Energies in meV per atom, measured from the most stable structure: a 0; b 256.